No. 1
# NbRu3S (PBE, optimized geometry)
data_NbRu3S
_chemical_formula_sum 'Nb1 Ru3 S1'
_cell_length_a 4.7543
_cell_length_b 4.7543
_cell_length_c 4.7543
_cell_angle_alpha 90.00
_cell_angle_beta 90.00
_cell_angle_gamma 90.00
_symmetry_space_group_name_H-M 'P m -3 m'
_symmetry_Int_Tables_number 221
_symmetry_space_group_name_Hall '-P 4 2 3'
loop_
_atom_site_label
_atom_site_fract_x
_atom_site_fract_y
_atom_site_fract_z
Nb1 0.0000 0.0000 0.0000
Ru1 0.0000 0.0000 0.5000
S1 0.5000 0.5000 0.5000
# - polymorph energy (0 for the lowest one) (eV/f.u.) = 7.06
# - density of states at the Fermi level (states/eV/cell) = 4.21

***

No. 2
# RbPuTlCl6 (PBE, optimized geometry)
data_RbPuTlCl6
_chemical_formula_sum 'Rb2 Pu2 Tl2 Cl12'
_cell_length_a 7.9411
_cell_length_b 7.9411
_cell_length_c 12.1558
_cell_angle_alpha 90.00
_cell_angle_beta 90.00
_cell_angle_gamma 120.00
_symmetry_space_group_name_H-M 'P -3 1 c'
_symmetry_Int_Tables_number 163
_symmetry_space_group_name_Hall '-P 3 2c'
loop_
_atom_site_label
_atom_site_fract_x
_atom_site_fract_y
_atom_site_fract_z
Rb1 0.3333 0.6667 0.2500
Pu1 0.3333 0.6667 0.7500
Tl1 0.0000 0.0000 0.0000
Cl1 0.0670 0.3938 0.6273
# - VASP energy (eV/atom) = -4.834
# - density of states at the Fermi level (states/eV/cell) = 7.12

***

No. 3
# AsAuBr2 (PBE, optimized geometry)
data_AsAuBr2
_chemical_formula_sum 'As2 Au2 Br4'
_cell_length_a 3.6406
_cell_length_b 8.1335
_cell_length_c 9.1525
_cell_angle_alpha 90.00
_cell_angle_beta 90.00
_cell_angle_gamma 90.00
_symmetry_space_group_name_H-M 'I m m 2'
_symmetry_Int_Tables_number 44
loop_
_symmetry_equiv_pos_as_xyz
'x,y,z'
'-x,-y,z'
'-x,y,z'
'x,-y,z'
'x+1/2,y+1/2,z+1/2'
'-x+1/2,-y+1/2,z+1/2'
'-x+1/2,y+1/2,z+1/2'
'x+1/2,-y+1/2,z+1/2'
loop_
_atom_site_label
_atom_site_fract_x
_atom_site_fract_y
_atom_site_fract_z
As1 0.0000 0.0000 0.0000
Au1 0.0000 0.5000 0.3140
Br1 0.0000 0.0000 0.6090
Br2 0.0000 0.5000 0.7341
# - polymorph energy (0 for the lowest one) (eV/f.u.) = 1.34
# - density of states at the Fermi level (states/eV/cell) = 7.82

***

No. 4
# RbSr2CaNi (PBE, optimized geometry)
data_RbSr2CaNi
_chemical_formula_sum 'Rb1 Sr2 Ca1 Ni1'
_cell_length_a 6.0760
_cell_length_b 6.0760
_cell_length_c 5.8591
_cell_angle_alpha 90.00
_cell_angle_beta 90.00
_cell_angle_gamma 90.00
_symmetry_space_group_name_H-M 'P 4/m m m'
_symmetry_Int_Tables_number 123
_symmetry_space_group_name_Hall '-P 4 2'
loop_
_atom_site_label
_atom_site_fract_x
_atom_site_fract_y
_atom_site_fract_z
Rb1 0.0000 0.0000 0.0000
Sr1 0.0000 0.5000 0.5000
Ca1 0.5000 0.5000 0.0000
Ni1 0.5000 0.5000 0.5000
# - calculated formation energy (eV/atom) = 0.070
# - density of states at the Fermi level (states/eV/cell) = 4.34

***

No. 5
# RbSr2MnW (PBE, optimized geometry)
data_RbSr2MnW
_chemical_formula_sum 'Rb1 Sr2 Mn1 W1'
_cell_length_a 5.9650
_cell_length_b 5.9650
_cell_length_c 4.9474
_cell_angle_alpha 90.00
_cell_angle_beta 90.00
_cell_angle_gamma 90.00
_symmetry_space_group_name_H-M 'P 4/m m m'
_symmetry_Int_Tables_number 123
_symmetry_space_group_name_Hall '-P 4 2'
loop_
_atom_site_label
_atom_site_fract_x
_atom_site_fract_y
_atom_site_fract_z
Rb1 0.0000 0.0000 0.0000
Sr1 0.0000 0.5000 0.0000
Mn1 0.0000 0.0000 0.5000
W1 0.5000 0.5000 0.5000
# - calculated formation energy (eV/atom) = 2.247
# - density of states at the Fermi level (states/eV/cell) = 3.86

***

No. 6
# TaCr2Sb (PBE, optimized geometry)
data_TaCr2Sb
_chemical_formula_sum 'Ta3 Cr6 Sb3'
_cell_length_a 3.0560
_cell_length_b 3.0560
_cell_length_c 24.4187
_cell_angle_alpha 90.00
_cell_angle_beta 90.00
_cell_angle_gamma 120.00
_symmetry_space_group_name_H-M 'R 3 m'
_symmetry_Int_Tables_number 160
_symmetry_space_group_name_Hall 'R 3 -2"'
loop_
_atom_site_label
_atom_site_fract_x
_atom_site_fract_y
_atom_site_fract_z
Ta1 0.0000 0.0000 0.0000
Cr1 0.0000 0.0000 0.4774
Cr2 0.0000 0.0000 0.7482
Sb1 0.0000 0.0000 0.2343
# - polymorph energy (0 for the lowest one) (eV/f.u.) = 1.46
# - density of states at the Fermi level (states/eV/cell) = 10.56

***

No. 7
# Tb3Mg7Ir4 (PBE, optimized geometry)
data_Tb3Mg7Ir4
_chemical_formula_sum 'Tb6 Mg14 Ir8'
_cell_length_a 16.0643
_cell_length_b 4.1672
_cell_length_c 10.4888
_cell_angle_alpha 90.00
_cell_angle_beta 124.40
_cell_angle_gamma 90.00
_symmetry_space_group_name_H-M 'C 1 2/m 1'
_symmetry_Int_Tables_number 12
loop_
_symmetry_equiv_pos_as_xyz
'x,y,z'
'-x,-y,-z'
'-x,y,-z'
'x,-y,z'
'x+1/2,y+1/2,z'
'-x+1/2,-y+1/2,-z'
'-x+1/2,y+1/2,-z'
'x+1/2,-y+1/2,z'
loop_
_atom_site_label
_atom_site_fract_x
_atom_site_fract_y
_atom_site_fract_z
Tb1 0.0000 0.0000 0.0000
Tb2 0.2013 0.5000 0.7211
Mg1 0.0000 0.0000 0.5000
Mg2 0.0126 0.5000 0.2878
Mg3 0.1709 0.0000 0.4307
Mg4 0.1791 0.5000 0.0098
Ir1 0.1103 0.0000 0.8079
Ir2 0.1627 0.5000 0.2537
# - calculated formation energy (eV/atom) = -0.463
# - density of states at the Fermi level (states/eV/cell) = 12.26

***

No. 8
# ReSi2Ru (PBE, optimized geometry)
data_ReSi2Ru
_chemical_formula_sum 'Re3 Si6 Ru3'
_cell_length_a 2.8385
_cell_length_b 2.8385
_cell_length_c 23.3715
_cell_angle_alpha 90.00
_cell_angle_beta 90.00
_cell_angle_gamma 120.00
_symmetry_space_group_name_H-M 'R -3 m'
_symmetry_Int_Tables_number 166
_symmetry_space_group_name_Hall '-R 3 2"'
loop_
_atom_site_label
_atom_site_fract_x
_atom_site_fract_y
_atom_site_fract_z
Re1 0.0000 0.0000 0.0000
Si1 0.0000 0.0000 0.2477
Ru1 0.0000 0.0000 0.5000
# - VASP energy (eV/atom) = -8.347
# - density of states at the Fermi level (states/eV/cell) = 6.45

***

No. 9
# TlSnO2F (PBE, optimized geometry)
data_TlSnO2F
_chemical_formula_sum 'Tl1 Sn1 O2 F1'
_cell_length_a 4.3493
_cell_length_b 4.3493
_cell_length_c 4.4329
_cell_angle_alpha 90.00
_cell_angle_beta 90.00
_cell_angle_gamma 90.00
_symmetry_space_group_name_H-M 'P 4/m m m'
_symmetry_Int_Tables_number 123
_symmetry_space_group_name_Hall '-P 4 2'
loop_
_atom_site_label
_atom_site_fract_x
_atom_site_fract_y
_atom_site_fract_z
Tl1 0.0000 0.0000 0.0000
Sn1 0.5000 0.5000 0.5000
O1 0.0000 0.5000 0.0000
F1 0.0000 0.0000 0.5000
# - VASP energy (eV/atom) = -4.410
# - density of states at the Fermi level (states/eV/cell) = 0.17

***

No. 10
# Er5Sb4H (PBE, optimized geometry)
data_Er5Sb4H
_chemical_formula_sum 'Er10 Sb8 H2'
_cell_length_a 9.5401
_cell_length_b 9.5401
_cell_length_c 6.0956
_cell_angle_alpha 90.00
_cell_angle_beta 90.00
_cell_angle_gamma 90.00
_symmetry_space_group_name_H-M 'I 4'
_symmetry_Int_Tables_number 79
loop_
_symmetry_equiv_pos_as_xyz
'x,y,z'
'-y,x,z'
'-x,-y,z'
'y,-x,z'
'x+1/2,y+1/2,z+1/2'
'-y+1/2,x+1/2,z+1/2'
'-x+1/2,-y+1/2,z+1/2'
'y+1/2,-x+1/2,z+1/2'
loop_
_atom_site_label
_atom_site_fract_x
_atom_site_fract_y
_atom_site_fract_z
Er1 0.0000 0.0000 0.0000
Er2 0.1020 0.3026 0.4148
Sb1 0.0990 0.2970 0.9151
H1 0.0000 0.0000 0.3623
# - VASP energy (eV/atom) = -5.082
# - density of states at the Fermi level (states/eV/cell) = 8.78

***

No. 11
# Zr2TaTl (PBE, optimized geometry)
data_Zr2TaTl
_chemical_formula_sum 'Zr6 Ta3 Tl3'
_cell_length_a 3.1996
_cell_length_b 3.1996
_cell_length_c 30.2569
_cell_angle_alpha 90.00
_cell_angle_beta 90.00
_cell_angle_gamma 120.00
_symmetry_space_group_name_H-M 'R 3 m'
_symmetry_Int_Tables_number 160
_symmetry_space_group_name_Hall 'R 3 -2"'
loop_
_atom_site_label
_atom_site_fract_x
_atom_site_fract_y
_atom_site_fract_z
Zr1 0.0000 0.0000 0.0000
Zr2 0.0000 0.0000 0.2484
Ta1 0.0000 0.0000 0.7466
Tl1 0.0000 0.0000 0.4952
# - calculated formation energy (eV/atom) = 0.226
# - polymorph energy (0 for the lowest one) (eV/f.u.) = 0.92
# - density of states at the Fermi level (states/eV/cell) = 13.53

***

No. 12
# RbScPt2Cl (PBE, optimized geometry)
data_RbScPt2Cl
_chemical_formula_sum 'Rb1 Sc1 Pt2 Cl1'
_cell_length_a 5.0555
_cell_length_b 5.0555
_cell_length_c 4.6455
_cell_angle_alpha 90.00
_cell_angle_beta 90.00
_cell_angle_gamma 90.00
_symmetry_space_group_name_H-M 'P 4/m m m'
_symmetry_Int_Tables_number 123
_symmetry_space_group_name_Hall '-P 4 2'
loop_
_atom_site_label
_atom_site_fract_x
_atom_site_fract_y
_atom_site_fract_z
Rb1 0.0000 0.0000 0.0000
Sc1 0.5000 0.5000 0.0000
Pt1 0.0000 0.5000 0.5000
Cl1 0.5000 0.5000 0.5000
# - VASP energy (eV/atom) = -3.972
# - density of states at the Fermi level (states/eV/cell) = 5.55